No. 1
Below is a relaxed BeCu2Pb crystal, with properties calculated at the GGA-PBE level.

Output
Its space-group type is P4/mmm. Its final energy is -3.620 eV per atom. Its crystal system is tetragonal. Its formation energy is 287 meV per atom.

a b c (Å): 2.993 2.993 7.036
angles (deg): 90.00 90.00 90.00
Atoms (fractional coordinates):
1 Be 0.000 0.000 0.000
2 Cu 0.500 0.500 0.170
3 Cu 0.500 0.500 0.830
4 Pb 0.000 0.000 0.500

***

No. 2
Below is a relaxed KTl3Hg8 crystal, with properties calculated at the GGA-PBE level.

Output
Its space-group type is P3m1. Its final energy is -0.944 eV per atom. Its crystal system is trigonal. Its formation energy is -60 meV per atom.

a b c (Å): 6.267 6.267 10.211
angles (deg): 90.00 90.00 120.00
Atoms (fractional coordinates):
1 K 0.000 0.000 0.000
2 Tl 0.000 0.000 0.373
3 Tl 0.667 0.333 0.504
4 Tl 0.667 0.333 0.864
5 Hg 0.162 0.324 0.685
6 Hg 0.162 0.838 0.685
7 Hg 0.333 0.667 0.436
8 Hg 0.333 0.667 0.937
9 Hg 0.505 0.010 0.190
10 Hg 0.505 0.495 0.190
11 Hg 0.676 0.838 0.685
12 Hg 0.990 0.495 0.190